[1]
Density functional theory data (PBE-GGA) for a relaxed structure of CsSbF4.

Computed properties:
As for the energy relative to the elements, uncorrected: -2595 meV per atom. Its spin magnetization is 0.00 μB/atom. As for the symmetry: Pbam (55).

Cell: 9.9261 16.2041 6.4234 Å, 90.00 90.00 90.00°
Sites, in units of the cell vectors:
Cs: 0.0869 0.1137 0.0000
Cs: 0.1568 0.7610 0.5000
Cs: 0.3432 0.2610 0.5000
Cs: 0.4131 0.6137 0.0000
Cs: 0.5869 0.3863 0.0000
Cs: 0.6568 0.7390 0.5000
Cs: 0.8432 0.2390 0.5000
Cs: 0.9131 0.8863 0.0000
Sb: 0.0183 0.3658 0.0000
Sb: 0.2147 0.5004 0.5000
Sb: 0.2853 0.0004 0.5000
Sb: 0.4817 0.8658 0.0000
Sb: 0.5183 0.1342 0.0000
Sb: 0.7147 0.9996 0.5000
Sb: 0.7853 0.4996 0.5000
Sb: 0.9817 0.6342 0.0000
F: 0.0946 0.2894 0.2243
F: 0.0946 0.2894 0.7757
F: 0.1234 0.5837 0.2446
F: 0.1234 0.5837 0.7554
F: 0.1274 0.7175 0.0000
F: 0.1605 0.0949 0.5000
F: 0.1641 0.9509 0.2786
F: 0.1641 0.9509 0.7214
F: 0.3359 0.4509 0.2786
F: 0.3359 0.4509 0.7214
F: 0.3395 0.5949 0.5000
F: 0.3726 0.2175 0.0000
F: 0.3766 0.0837 0.2446
F: 0.3766 0.0837 0.7554
F: 0.4054 0.7894 0.2243
F: 0.4054 0.7894 0.7757
F: 0.5946 0.2106 0.2243
F: 0.5946 0.2106 0.7757
F: 0.6234 0.9163 0.2446
F: 0.6234 0.9163 0.7554
F: 0.6274 0.7825 0.0000
F: 0.6605 0.4051 0.5000
F: 0.6641 0.5491 0.2786
F: 0.6641 0.5491 0.7214
F: 0.8359 0.0491 0.2786
F: 0.8359 0.0491 0.7214
F: 0.8395 0.9051 0.5000
F: 0.8726 0.2825 0.0000
F: 0.8766 0.4163 0.2446
F: 0.8766 0.4163 0.7554
F: 0.9054 0.7106 0.2243
F: 0.9054 0.7106 0.7757



[2]
Density functional theory data (PBE-GGA) for a relaxed structure of CsSbF4.

Computed properties:
As for the energy relative to the elements, uncorrected: -2583 meV per atom. Its spin magnetization is 0.00 μB/atom. As for the symmetry: C2 (5).

Cell: 4.7649 4.7649 7.1280 Å, 105.03 105.03 64.24°
Sites, in units of the cell vectors:
Cs: 0.0000 0.0000 0.0000
Sb: 0.4710 0.5290 0.5000
F: 0.4135 0.3687 0.1938
F: 0.5901 0.0859 0.5251
F: 0.6313 0.5865 0.8062
F: 0.9141 0.4099 0.4749



[3]
Density functional theory data (PBE-GGA) for a relaxed structure of Cs2SbF5.

Computed properties:
As for the energy relative to the elements, uncorrected: -2666 meV per atom. Its spin magnetization is 0.00 μB/atom. As for the symmetry: Cmcm (63).

Cell: 8.2859 8.2859 7.1886 Å, 90.00 90.00 131.68°
Sites, in units of the cell vectors:
Cs: 0.0638 0.9362 0.7500
Cs: 0.2559 0.7441 0.2500
Cs: 0.7441 0.2559 0.7500
Cs: 0.9362 0.0638 0.2500
Sb: 0.4049 0.5951 0.7500
Sb: 0.5951 0.4049 0.2500
F: 0.1611 0.3958 0.5468
F: 0.1611 0.3958 0.9532
F: 0.2731 0.7269 0.7500
F: 0.3958 0.1611 0.0468
F: 0.3958 0.1611 0.4532
F: 0.6042 0.8389 0.5468
F: 0.6042 0.8389 0.9532
F: 0.7269 0.2731 0.2500
F: 0.8389 0.6042 0.0468
F: 0.8389 0.6042 0.4532



[4]
Density functional theory data (PBE-GGA) for a relaxed structure of Cs2SbF5.

Computed properties:
As for the energy relative to the elements, uncorrected: -2617 meV per atom. Its spin magnetization is 0.00 μB/atom. As for the symmetry: Pnma (62).

Cell: 8.7837 6.6506 12.7559 Å, 90.00 90.00 90.00°
Sites, in units of the cell vectors:
Cs: 0.0067 0.2500 0.2229
Cs: 0.1440 0.2500 0.5708
Cs: 0.3560 0.7500 0.0708
Cs: 0.4933 0.7500 0.7229
Cs: 0.5067 0.2500 0.2771
Cs: 0.6440 0.2500 0.9292
Cs: 0.8560 0.7500 0.4292
Cs: 0.9933 0.7500 0.7771
Sb: 0.1724 0.2500 0.9360
Sb: 0.3276 0.7500 0.4360
Sb: 0.6724 0.2500 0.5640
Sb: 0.8276 0.7500 0.0640
F: 0.0000 0.0000 0.0000
F: 0.0000 0.5000 0.0000
F: 0.0503 0.2500 0.7973
F: 0.1497 0.7500 0.5725
F: 0.1974 0.5235 0.3678
F: 0.1974 0.9765 0.3678
F: 0.3026 0.0235 0.8678
F: 0.3026 0.4765 0.8678
F: 0.3503 0.2500 0.0725
F: 0.4497 0.7500 0.2973
F: 0.5000 0.0000 0.5000
F: 0.5000 0.5000 0.5000
F: 0.5503 0.2500 0.7027
F: 0.6497 0.7500 0.9275
F: 0.6974 0.5235 0.1322
F: 0.6974 0.9765 0.1322
F: 0.8026 0.0235 0.6322
F: 0.8026 0.4765 0.6322
F: 0.8503 0.2500 0.4275
F: 0.9497 0.7500 0.2027



[5]
Density functional theory data (PBE-GGA) for a relaxed structure of CsSb3F.

Computed properties:
As for the energy relative to the elements, uncorrected: 1344 meV per atom. Its spin magnetization is 0.00 μB/atom. As for the symmetry: Pm-3m (221).

Cell: 6.2743 6.2743 6.2743 Å, 90.00 90.00 90.00°
Sites, in units of the cell vectors:
Cs: 0.0000 0.0000 0.0000
Sb: 0.0000 0.0000 0.5000
Sb: 0.0000 0.5000 0.0000
Sb: 0.5000 0.0000 0.0000
F: 0.5000 0.5000 0.5000



[6]
Density functional theory data (PBE-GGA) for a relaxed structure of CsSbF6.

Computed properties:
As for the energy relative to the elements, uncorrected: -2603 meV per atom. Its spin magnetization is 0.02 μB/atom. As for the symmetry: C2/c (15).

Cell: 6.1943 6.1943 11.0176 Å, 100.86 100.86 53.79°
Sites, in units of the cell vectors:
Cs: 0.1577 0.8423 0.7500
Cs: 0.8423 0.1577 0.2500
Sb: 0.0000 0.5000 0.0000
Sb: 0.5000 0.0000 0.5000
F: 0.1400 0.1587 0.5358
F: 0.1587 0.1400 0.0358
F: 0.2008 0.3606 0.8581
F: 0.2830 0.5072 0.1039
F: 0.3606 0.2008 0.3581
F: 0.4928 0.7170 0.3961
F: 0.5072 0.2830 0.6039
F: 0.6394 0.7992 0.6419
F: 0.7170 0.4928 0.8961
F: 0.7992 0.6394 0.1419
F: 0.8413 0.8600 0.9642
F: 0.8600 0.8413 0.4642



[7]
Density functional theory data (PBE-GGA) for a relaxed structure of Cs3Sb2F9.

Computed properties:
As for the energy relative to the elements, uncorrected: -2592 meV per atom. Its spin magnetization is 0.00 μB/atom. As for the symmetry: P-3m1 (164).

Cell: 6.9513 6.9513 8.1587 Å, 90.00 90.00 120.00°
Sites, in units of the cell vectors:
Cs: 0.0000 0.0000 0.0000
Cs: 0.3333 0.6667 0.3535
Cs: 0.6667 0.3333 0.6465
Sb: 0.3333 0.6667 0.8449
Sb: 0.6667 0.3333 0.1551
F: 0.0000 0.5000 0.0000
F: 0.1970 0.3940 0.6919
F: 0.1970 0.8030 0.6919
F: 0.3940 0.1970 0.3081
F: 0.5000 0.0000 0.0000
F: 0.5000 0.5000 0.0000
F: 0.6060 0.8030 0.6919
F: 0.8030 0.1970 0.3081
F: 0.8030 0.6060 0.3081



[8]
Density functional theory data (PBE-GGA) for a relaxed structure of Cs6SbF2.

Computed properties:
As for the energy relative to the elements, uncorrected: -1303 meV per atom. Its spin magnetization is 0.00 μB/atom. As for the symmetry: C2/m (12).

Cell: 9.2323 9.2323 12.5212 Å, 124.90 124.90 40.39°
Sites, in units of the cell vectors:
Cs: 0.0006 0.0006 0.1996
Cs: 0.2689 0.2689 0.6252
Cs: 0.3514 0.3514 0.3082
Cs: 0.6486 0.6486 0.6918
Cs: 0.7311 0.7311 0.3748
Cs: 0.9994 0.9994 0.8004
Sb: 0.0000 0.0000 0.5000
F: 0.2061 0.2061 0.3539
F: 0.7939 0.7939 0.6461



Number 6 is which compound?
CsSbF6



Which value of energy relative to the elements, uncorrected does entry 5 give?
1344 meV per atom



What is the energy relative to the elements, uncorrected in the first record?
-2595 meV per atom



What is the spin magnetization in the seventh record?
0.00 μB/atom